# HfMgCoRh

A relaxed HfMgCoRh crystal (PBE-GGA, Alexandria).

Unit cell a=4.4288 b=4.4288 c=4.4288 alpha=60.00 beta=60.00 gamma=60.00
With the nearest neighbours (Å) after each atom.
Element x y z (fractional)
Rh (0.0000, 0.0000, 0.0000)  4 Hf 2.71, 4 Mg 2.71
Mg (0.2500, 0.2500, 0.2500)  4 Co 2.71, 4 Rh 2.71
Hf (0.7500, 0.7500, 0.7500)  4 Co 2.71, 4 Rh 2.71
Co (0.5000, 0.5000, 0.5000)  4 Hf 2.71, 4 Mg 2.71

## Properties
Fermi-level density of states in states/eV/f.u.: 1.00
ΔE to the lowest computed polymorph in eV/f.u.: 0.00
Space group: F-43m, No. 216
Mass density in Mg/m³: 9.86
E_form in meV/atom: -540

# HoAs2PtRh5

A relaxed HoAs2PtRh5 crystal (PBE-GGA, Alexandria).

Unit cell a=4.6510 b=4.6510 c=7.1324 alpha=90.00 beta=90.00 gamma=90.00
With the nearest neighbours (Å) after each atom.
Element x y z (fractional)
Ho (0.0000, 0.0000, 0.5000)  12 Rh 3.05-3.29
As (0.5000, 0.5000, 0.1671)  5 Rh 2.36-2.37, 1 As 2.38
As (0.5000, 0.5000, 0.8329)  5 Rh 2.36-2.37, 1 As 2.38
Pt (0.0000, 0.0000, 0.0000)  8 Rh 2.82
Rh (0.0000, 0.5000, 0.2235)  2 As 2.36
Rh (0.5000, 0.0000, 0.2235)  2 As 2.36
Rh (0.0000, 0.5000, 0.7765)  2 As 2.36
Rh (0.5000, 0.0000, 0.7765)  2 As 2.36
Rh (0.5000, 0.5000, 0.5000)  2 As 2.37

## Properties
Fermi-level density of states in states/eV/f.u.: 10.04
Space group: P4/mmm, No. 123
Mass density in Mg/m³: 11.02
E_form in meV/atom: -214

# SrTbMgAu

A relaxed SrTbMgAu crystal (PBE-GGA, Alexandria).

Unit cell a=5.3921 b=5.3921 c=5.3921 alpha=60.00 beta=60.00 gamma=60.00
With the nearest neighbours (Å) after each atom.
Element x y z (fractional)
Tb (0.7500, 0.7500, 0.7500)  4 Au 3.30, 4 Mg 3.30
Mg (0.5000, 0.5000, 0.5000)  4 Tb 3.30, 4 Sr 3.30
Au (0.0000, 0.0000, 0.0000)  4 Sr 3.30, 4 Tb 3.30
Sr (0.2500, 0.2500, 0.2500)  4 Mg 3.30, 4 Au 3.30

## Properties
Fermi-level density of states in states/eV/f.u.: 2.83
Space group: F-43m, No. 216
Mass density in Mg/m³: 7.01
E_form in meV/atom: -304